Entry 1:
LiAcMg4 | the Alexandria database | PBE-GGA | optimized geometry; V = 26.42 Å³ per atom; ΔE to the lowest computed polymorph = 0 meV/atom; ρ = 3.5 g/cm3
1.0
8.8900 0.0000 0.0000
0.0000 4.5072 0.0000
0.0000 0.0000 7.9120
Li Ac Mg
2 2 8
Direct
0.2500 0.0000 0.1977 Li
0.7500 0.0000 0.8023 Li
0.2500 0.0000 0.6116 Ac
0.7500 0.0000 0.3884 Ac
0.0000 0.0000 0.0000 Mg
0.0558 0.5000 0.2980 Mg
0.2500 0.5000 0.9501 Mg
0.4442 0.5000 0.2980 Mg
0.5000 0.0000 0.0000 Mg
0.5558 0.5000 0.7020 Mg
0.7500 0.5000 0.0499 Mg
0.9442 0.5000 0.7020 Mg

Entry 2:
Li2Ac3Mg9 | the Alexandria database | PBE-GGA | optimized geometry; total energy = -30.97 eV per cell; V = 28.15 Å³ per atom; ρ = 3.8 g/cm3
1.0
-2.6428 5.3678 6.9446
2.6428 -5.3678 6.9446
2.6428 5.3678 -6.9446
Li Ac Mg
2 3 9
Direct
0.1587 0.0000 0.1587 Li
0.8413 0.0000 0.8413 Li
0.2150 0.2150 0.0000 Ac
0.5000 0.5000 0.0000 Ac
0.7850 0.7850 0.0000 Ac
0.0000 0.5000 0.5000 Mg
0.0800 0.3634 0.7165 Mg
0.2150 0.8572 0.3578 Mg
0.3531 0.6366 0.7165 Mg
0.4993 0.8572 0.6422 Mg
0.5007 0.1428 0.3578 Mg
0.6469 0.3634 0.2835 Mg
0.7850 0.1428 0.6422 Mg
0.9200 0.6366 0.2835 Mg

Entry 3:
Li2AcMg | the Alexandria database | PBE-GGA | optimized geometry; V = 29.27 Å³ per atom; ΔE to the lowest computed polymorph = 111 meV/atom; ρ = 3.8 g/cm3
1.0
3.5651 0.0000 0.0000
-1.7825 3.0874 0.0000
0.0000 0.0000 31.9138
Li Ac Mg
6 3 3
Direct
0.0000 0.0000 0.0000 Li
0.0000 0.0000 0.1860 Li
0.3333 0.6667 0.6667 Li
0.3333 0.6667 0.8527 Li
0.6667 0.3333 0.3333 Li
0.6667 0.3333 0.5193 Li
0.0000 0.0000 0.4259 Ac
0.3333 0.6667 0.0925 Ac
0.6667 0.3333 0.7592 Ac
0.0000 0.0000 0.5931 Mg
0.3333 0.6667 0.2598 Mg
0.6667 0.3333 0.9265 Mg

Entry 4:
LiAc5Mg4 | the Alexandria database | PBE-GGA | optimized geometry; total energy = -29.38 eV per cell; V = 34.70 Å³ per atom; ρ = 5.9 g/cm3
1.0
4.1133 0.0000 0.0000
0.0000 4.1133 0.0000
0.0000 0.0000 20.5066
Li Ac Mg
1 5 4
Direct
0.0000 0.0000 0.0000 Li
0.5000 0.5000 0.1002 Ac
0.5000 0.5000 0.2989 Ac
0.5000 0.5000 0.5000 Ac
0.5000 0.5000 0.7011 Ac
0.5000 0.5000 0.8998 Ac
0.0000 0.0000 0.1993 Mg
0.0000 0.0000 0.3989 Mg
0.0000 0.0000 0.6011 Mg
0.0000 0.0000 0.8007 Mg

Entry 5:
Li3AcMg9 | the Alexandria database | PBE-GGA | optimized geometry; total energy = -25.12 eV per cell; V = 23.70 Å³ per atom; ρ = 2.5 g/cm3
1.0
2.7892 -7.4314 0.0000
2.7892 7.4314 0.0000
-2.6973 0.0000 7.4311
Li Ac Mg
3 1 9
Direct
0.0000 0.0000 0.0000 Li
0.0000 0.5000 0.5000 Li
0.5000 0.0000 0.5000 Li
0.5000 0.5000 0.5000 Ac
0.0077 0.7857 0.2843 Mg
0.1453 0.5026 0.1469 Mg
0.2143 0.9923 0.7157 Mg
0.4974 0.8547 0.8531 Mg
0.5000 0.5000 0.0000 Mg
0.5026 0.1453 0.1469 Mg
0.7857 0.0077 0.2843 Mg
0.8547 0.4974 0.8531 Mg
0.9923 0.2143 0.7157 Mg

Entry 6:
Li10AcMg | the Alexandria database | PBE-GGA | optimized geometry; total energy = -23.84 eV per cell; V = 22.87 Å³ per atom; ρ = 1.9 g/cm3
1.0
4.7475 0.0000 0.0000
0.0000 5.7928 0.0000
0.0000 0.0000 9.9775
Li Ac Mg
10 1 1
Direct
0.0000 0.0000 0.0000 Li
0.0000 0.2392 0.2698 Li
0.0000 0.2392 0.7302 Li
0.0000 0.5000 0.5000 Li
0.0000 0.7608 0.2698 Li
0.0000 0.7608 0.7302 Li
0.5000 0.0000 0.1916 Li
0.5000 0.0000 0.8084 Li
0.5000 0.5000 0.3511 Li
0.5000 0.5000 0.6489 Li
0.5000 0.5000 0.0000 Ac
0.5000 0.0000 0.5000 Mg

Entry 7:
LiAcMg4 | the Alexandria database | PBE-GGA | optimized geometry; V = 27.79 Å³ per atom; ΔE to the lowest computed polymorph = 40 meV/atom; ρ = 3.3 g/cm3
1.0
0.0000 4.3684 4.3684
4.3684 0.0000 4.3684
4.3684 4.3684 0.0000
Li Ac Mg
1 1 4
Direct
0.0000 0.0000 0.0000 Li
0.7500 0.7500 0.7500 Ac
0.3746 0.3746 0.3746 Mg
0.3746 0.3746 0.8761 Mg
0.3746 0.8761 0.3746 Mg
0.8761 0.3746 0.3746 Mg

Entry 8:
Li4AcMg5 | the Alexandria database | PBE-GGA | optimized geometry; total energy = -20.09 eV per cell; V = 23.36 Å³ per atom; ρ = 2.7 g/cm3
1.0
3.5748 0.0000 0.0000
0.0000 3.5748 0.0000
0.0000 0.0000 18.2783
Li Ac Mg
4 1 5
Direct
0.0000 0.0000 0.0895 Li
0.0000 0.0000 0.2700 Li
0.0000 0.0000 0.7300 Li
0.0000 0.0000 0.9105 Li
0.0000 0.0000 0.5000 Ac
0.5000 0.5000 0.0000 Mg
0.5000 0.5000 0.1795 Mg
0.5000 0.5000 0.3582 Mg
0.5000 0.5000 0.6418 Mg
0.5000 0.5000 0.8205 Mg